DFT (PBEsol) results for a relaxed structure of NbPSe2N.

Calculated values
As for the energy above the lowest structure with this stoichiometry: 0.000 eV per atom. Its space group is P4/mmm, No. 123. The density of states at the Fermi level is 4.1 states/eV/f.u. The total energy comes out at -30.76 eV per cell. The density comes out at 6.25 g cm⁻³.

Unit cell a=4.916 b=4.916 c=3.251 alpha=90.00 beta=90.00 gamma=90.00
Sites, in units of the cell vectors:
Nb 0.000 0.000 0.000
P 0.500 0.500 0.500
Se 0.000 0.500 0.500
Se 0.500 0.000 0.500
N 0.500 0.500 0.000

---

DFT (PBEsol) results for a relaxed structure of NbTePN2.

Calculated values
Its space group is P4/mmm, No. 123. The density of states at the Fermi level is 3.2 states/eV/f.u. The total energy comes out at -34.12 eV per cell. The density comes out at 5.02 g cm⁻³.

Unit cell a=3.973 b=3.973 c=5.862 alpha=90.00 beta=90.00 gamma=90.00
Sites, in units of the cell vectors:
Nb 0.000 0.000 0.000
Te 0.000 0.000 0.500
P 0.500 0.500 0.500
N 0.000 0.500 0.000
N 0.500 0.000 0.000

---

DFT (PBEsol) results for a relaxed structure of NbPbSeN2.

Calculated values
Its space group is P4/mmm, No. 123. The density of states at the Fermi level is 4.4 states/eV/f.u. The total energy comes out at -26.98 eV per cell. The density comes out at 7.15 g cm⁻³.

Unit cell a=4.192 b=4.192 c=5.378 alpha=90.00 beta=90.00 gamma=90.00
Sites, in units of the cell vectors:
Nb 0.000 0.000 0.000
Pb 0.500 0.500 0.500
Se 0.500 0.500 0.000
N 0.000 0.500 0.500
N 0.500 0.000 0.500

---

DFT (PBEsol) results for a relaxed structure of NbPbSe2N.

Calculated values
Its space group is P4/mmm, No. 123. The density of states at the Fermi level is 4.2 states/eV/f.u. The total energy comes out at -24.37 eV per cell. The density comes out at 6.80 g cm⁻³.

Unit cell a=5.335 b=5.335 c=4.050 alpha=90.00 beta=90.00 gamma=90.00
Sites, in units of the cell vectors:
Nb 0.000 0.000 0.000
Pb 0.500 0.500 0.500
Se 0.000 0.500 0.500
Se 0.500 0.000 0.500
N 0.500 0.500 0.000

---

DFT (PBEsol) results for a relaxed structure of Nb3PdN.

Calculated values
Its space group is Cmcm, No. 63. The density of states at the Fermi level is 4.1 states/eV/f.u. The total energy comes out at -100.44 eV per cell. The density comes out at 9.02 g cm⁻³.

Unit cell a=5.652 b=5.652 c=8.608 alpha=90.00 beta=90.00 gamma=147.70
Sites, in units of the cell vectors:
Nb 0.036 0.964 0.750
Nb 0.371 0.629 0.541
Nb 0.371 0.629 0.959
Nb 0.629 0.371 0.041
Nb 0.629 0.371 0.459
Nb 0.964 0.036 0.250
Pd 0.251 0.749 0.250
Pd 0.749 0.251 0.750
N 0.000 0.000 0.000
N 0.000 0.000 0.500

---

DFT (PBEsol) results for a relaxed structure of Nb3PdN.

Calculated values
Its space group is Pm-3m, No. 221. The density of states at the Fermi level is 3.5 states/eV/f.u. The total energy comes out at -50.00 eV per cell. The density comes out at 8.89 g cm⁻³.

Unit cell a=4.209 b=4.209 c=4.209 alpha=90.00 beta=90.00 gamma=90.00
Sites, in units of the cell vectors:
Nb 0.000 0.000 0.500
Nb 0.000 0.500 0.000
Nb 0.500 0.000 0.000
Pd 0.500 0.500 0.500
N 0.000 0.000 0.000

---

DFT (PBEsol) results for a relaxed structure of NbPd2N.

Calculated values
Its space group is I-42d, No. 122. The density of states at the Fermi level is 3.1 states/eV/f.u. The total energy comes out at -61.28 eV per cell. The density comes out at 9.41 g cm⁻³.

Unit cell a=5.561 b=5.561 c=5.561 alpha=98.55 beta=98.55 gamma=134.64
Sites, in units of the cell vectors:
Nb 0.000 0.000 0.000
Nb 0.750 0.250 0.500
Pd 0.231 0.125 0.606
Pd 0.375 0.769 0.894
Pd 0.519 0.625 0.394
Pd 0.875 0.481 0.106
N 0.250 0.750 0.500
N 0.500 0.500 0.000

---

DFT (PBEsol) results for a relaxed structure of Nb2PdN.

Calculated values
Its space group is Cmcm, No. 63. The density of states at the Fermi level is 2.1 states/eV/f.u. The total energy comes out at -78.55 eV per cell. The density comes out at 9.33 g cm⁻³.

Unit cell a=8.330 b=8.330 c=4.371 alpha=90.00 beta=90.00 gamma=158.95
Sites, in units of the cell vectors:
Nb 0.102 0.898 0.750
Nb 0.288 0.712 0.750
Nb 0.712 0.288 0.250
Nb 0.898 0.102 0.250
Pd 0.455 0.545 0.750
Pd 0.545 0.455 0.250
N 0.305 0.695 0.250
N 0.695 0.305 0.750

---

DFT (PBEsol) results for a relaxed structure of NbPdN3.

Calculated values
Its space group is Pm-3m, No. 221. The density of states at the Fermi level is 2.2 states/eV/f.u. The total energy comes out at -36.17 eV per cell. The density comes out at 7.38 g cm⁻³.

Unit cell a=3.788 b=3.788 c=3.788 alpha=90.00 beta=90.00 gamma=90.00
Sites, in units of the cell vectors:
Nb 0.000 0.000 0.000
Pd 0.500 0.500 0.500
N 0.000 0.500 0.500
N 0.500 0.000 0.500
N 0.500 0.500 0.000

---

DFT (PBEsol) results for a relaxed structure of NbPdSN2.

Calculated values
Its space group is P4/mmm, No. 123. The density of states at the Fermi level is 3.6 states/eV/f.u. The total energy comes out at -32.50 eV per cell. The density comes out at 6.44 g cm⁻³.

Unit cell a=3.852 b=3.852 c=4.507 alpha=90.00 beta=90.00 gamma=90.00
Sites, in units of the cell vectors:
Nb 0.000 0.000 0.000
Pd 0.500 0.500 0.500
S 0.500 0.500 0.000
N 0.000 0.500 0.500
N 0.500 0.000 0.500

---

DFT (PBEsol) results for a relaxed structure of NbTe2PtN.

Calculated values
Its space group is P4/mmm, No. 123. The density of states at the Fermi level is 3.1 states/eV/f.u. The total energy comes out at -30.81 eV per cell. The density comes out at 8.40 g cm⁻³.

Unit cell a=5.381 b=5.381 c=3.805 alpha=90.00 beta=90.00 gamma=90.00
Sites, in units of the cell vectors:
Nb 0.000 0.000 0.000
Te 0.000 0.500 0.000
Te 0.500 0.000 0.000
Pt 0.500 0.500 0.500
N 0.000 0.000 0.500

---

DFT (PBEsol) results for a relaxed structure of RbNbN3.

Calculated values
Its space group is Pm-3m, No. 221. The density of states at the Fermi level is 2.4 states/eV/f.u. The total energy comes out at -22.61 eV per cell. The density comes out at 5.54 g cm⁻³.

Unit cell a=4.043 b=4.043 c=4.043 alpha=90.00 beta=90.00 gamma=90.00
Sites, in units of the cell vectors:
Rb 0.000 0.000 0.000
Nb 0.500 0.500 0.500
N 0.000 0.000 0.500
N 0.000 0.500 0.000
N 0.500 0.000 0.000